Here is a relaxed MgPWO2 crystal from Alexandria via LeMat-Bulk. Energies are from PBE+U.

Computed properties:
Excess energy over the best structure of this formula in the dataset   1024.4 meV/atom
Calculated total energy   -4.93 eV/atom

Unit cell a=3.7935 b=3.7935 c=5.3505 alpha=90.00 beta=90.00 gamma=90.00
With the nearest neighbours (Å) after each atom.
Sites, in units of the cell vectors:
O (0.0000, 0.5000, 0.0000)  2 Mg 1.90
Mg (0.0000, 0.0000, 0.0000)  4 O 1.90
O (0.5000, 0.0000, 0.0000)  2 Mg 1.90
W (0.5000, 0.5000, 0.5000)  4 P 2.68
P (0.0000, 0.0000, 0.5000)  2 Mg 2.68, 4 W 2.68

***

Here is a relaxed MgP2WO crystal from Alexandria via LeMat-Bulk. Energies are from PBE+U.

Computed properties:
Excess energy over the best structure of this formula in the dataset   0.0 meV/atom
Calculated total energy   -5.20 eV/atom

Unit cell a=4.8642 b=4.8642 c=3.8314 alpha=90.00 beta=90.00 gamma=90.00
With the nearest neighbours (Å) after each atom.
Sites, in units of the cell vectors:
P (0.0000, 0.5000, 0.0000)  2 W 2.43
Mg (0.5000, 0.5000, 0.5000)  8 P 3.10, 4 O 3.44
O (0.0000, 0.0000, 0.5000)  2 W 1.92
W (0.0000, 0.0000, 0.0000)  2 O 1.92
P (0.5000, 0.0000, 0.0000)  2 W 2.43